[1]
Below is crystalline Pt5C3 at its relaxed geometry, with properties calculated at the PBE-GGA level.

Values from the calculation:
SG = Cmmm
distance to the lowest polymorph of the same formula = 516 meV/atom

```
data_Pt5C3
_cell_length_a 6.219
_cell_length_b 6.219
_cell_length_c 2.835
_cell_angle_alpha 90.00
_cell_angle_beta 90.00
_cell_angle_gamma 105.11
_space_group_name_H-M_alt 'P 1'
_space_group_IT_number 1
_space_group_name_Hall 'P 1'
loop_
_atom_site_label
_atom_site_type_symbol
_atom_site_fract_x
_atom_site_fract_y
_atom_site_fract_z
Pt1 Pt 0.682 0.682 0.500
Pt2 Pt 0.000 0.000 0.000
Pt3 Pt 0.000 0.500 0.000
Pt4 Pt 0.500 0.000 0.000
Pt5 Pt 0.318 0.318 0.500
C1 C 0.820 0.180 0.500
C2 C 0.180 0.820 0.500
C3 C 0.500 0.500 0.000
```



[2]
Below is crystalline Pt4C at its relaxed geometry, with properties calculated at the PBE-GGA level.

Values from the calculation:
SG = Im-3m
distance to the lowest polymorph of the same formula = 109 meV/atom

```
data_Pt4C
_cell_length_a 4.606
_cell_length_b 4.606
_cell_length_c 4.606
_cell_angle_alpha 109.47
_cell_angle_beta 109.47
_cell_angle_gamma 109.47
_space_group_name_H-M_alt 'P 1'
_space_group_IT_number 1
_space_group_name_Hall 'P 1'
loop_
_atom_site_label
_atom_site_type_symbol
_atom_site_fract_x
_atom_site_fract_y
_atom_site_fract_z
Pt1 Pt 0.000 0.500 0.000
Pt2 Pt 0.000 0.000 0.500
Pt3 Pt 0.500 0.000 0.000
Pt4 Pt 0.500 0.500 0.500
C1 C 0.000 0.000 0.000
```



[3]
Below is crystalline PtC at its relaxed geometry, with properties calculated at the PBE-GGA level.

Values from the calculation:
SG = Pmmn
distance to the lowest polymorph of the same formula = 529 meV/atom

```
data_PtC
_cell_length_a 3.212
_cell_length_b 4.551
_cell_length_c 10.505
_cell_angle_alpha 90.00
_cell_angle_beta 90.00
_cell_angle_gamma 90.00
_space_group_name_H-M_alt 'P 1'
_space_group_IT_number 1
_space_group_name_Hall 'P 1'
loop_
_atom_site_label
_atom_site_type_symbol
_atom_site_fract_x
_atom_site_fract_y
_atom_site_fract_z
Pt1 Pt 0.000 0.728 0.822
Pt2 Pt 0.500 0.258 0.000
Pt3 Pt 0.500 0.272 0.322
Pt4 Pt 0.500 0.272 0.678
Pt5 Pt 0.000 0.742 0.500
Pt6 Pt 0.000 0.728 0.178
C1 C 0.000 0.542 0.000
C2 C 0.000 0.994 0.654
C3 C 0.500 0.006 0.846
C4 C 0.500 0.458 0.500
C5 C 0.000 0.994 0.346
C6 C 0.500 0.006 0.154
```



[4]
Below is crystalline PtC at its relaxed geometry, with properties calculated at the PBE-GGA level.

Values from the calculation:
SG = P6_3/mmc
distance to the lowest polymorph of the same formula = 0 meV/atom

```
data_PtC
_cell_length_a 2.589
_cell_length_b 2.589
_cell_length_c 22.241
_cell_angle_alpha 90.00
_cell_angle_beta 90.00
_cell_angle_gamma 120.00
_space_group_name_H-M_alt 'P 1'
_space_group_IT_number 1
_space_group_name_Hall 'P 1'
loop_
_atom_site_label
_atom_site_type_symbol
_atom_site_fract_x
_atom_site_fract_y
_atom_site_fract_z
Pt1 Pt 0.667 0.333 0.943
Pt2 Pt 0.333 0.667 0.443
Pt3 Pt 0.333 0.667 0.057
Pt4 Pt 0.667 0.333 0.557
C1 C 0.667 0.333 0.250
C2 C 0.000 0.000 0.750
C3 C 0.333 0.667 0.750
C4 C 0.000 0.000 0.250
```



[5]
Below is crystalline PtC at its relaxed geometry, with properties calculated at the PBE-GGA level.

Values from the calculation:
SG = Cmcm
distance to the lowest polymorph of the same formula = 213 meV/atom

```
data_PtC
_cell_length_a 5.472
_cell_length_b 5.472
_cell_length_c 2.593
_cell_angle_alpha 90.00
_cell_angle_beta 90.00
_cell_angle_gamma 128.28
_space_group_name_H-M_alt 'P 1'
_space_group_IT_number 1
_space_group_name_Hall 'P 1'
loop_
_atom_site_label
_atom_site_type_symbol
_atom_site_fract_x
_atom_site_fract_y
_atom_site_fract_z
Pt1 Pt 0.265 0.735 0.250
Pt2 Pt 0.735 0.265 0.750
C1 C 0.530 0.470 0.750
C2 C 0.470 0.530 0.250
```



[6]
Below is crystalline Pt3C2 at its relaxed geometry, with properties calculated at the PBE-GGA level.

Values from the calculation:
SG = R-3m
distance to the lowest polymorph of the same formula = 160 meV/atom

```
data_Pt3C2
_cell_length_a 7.214
_cell_length_b 7.214
_cell_length_c 7.214
_cell_angle_alpha 25.66
_cell_angle_beta 25.66
_cell_angle_gamma 25.66
_space_group_name_H-M_alt 'P 1'
_space_group_IT_number 1
_space_group_name_Hall 'P 1'
loop_
_atom_site_label
_atom_site_type_symbol
_atom_site_fract_x
_atom_site_fract_y
_atom_site_fract_z
Pt1 Pt 0.000 0.000 0.000
Pt2 Pt 0.218 0.218 0.218
Pt3 Pt 0.782 0.782 0.782
C1 C 0.599 0.599 0.599
C2 C 0.401 0.401 0.401
```



[7]
Below is crystalline PtC3 at its relaxed geometry, with properties calculated at the PBE-GGA level.

Values from the calculation:
SG = P6_3/mmc
distance to the lowest polymorph of the same formula = 1324 meV/atom

```
data_PtC3
_cell_length_a 4.289
_cell_length_b 4.289
_cell_length_c 9.121
_cell_angle_alpha 90.00
_cell_angle_beta 90.00
_cell_angle_gamma 120.00
_space_group_name_H-M_alt 'P 1'
_space_group_IT_number 1
_space_group_name_Hall 'P 1'
loop_
_atom_site_label
_atom_site_type_symbol
_atom_site_fract_x
_atom_site_fract_y
_atom_site_fract_z
C1 C 0.440 0.220 0.250
C2 C 0.780 0.560 0.250
C3 C 0.560 0.780 0.750
C4 C 0.780 0.220 0.250
C5 C 0.220 0.780 0.750
C6 C 0.220 0.440 0.750
Pt1 Pt 0.333 0.667 0.250
Pt2 Pt 0.667 0.333 0.750
```



[8]
Below is crystalline PtC at its relaxed geometry, with properties calculated at the PBE-GGA level.

Values from the calculation:
SG = Cm
distance to the lowest polymorph of the same formula = 406 meV/atom

```
data_PtC
_cell_length_a 6.319
_cell_length_b 6.319
_cell_length_c 5.538
_cell_angle_alpha 69.90
_cell_angle_beta 69.90
_cell_angle_gamma 27.18
_space_group_name_H-M_alt 'P 1'
_space_group_IT_number 1
_space_group_name_Hall 'P 1'
loop_
_atom_site_label
_atom_site_type_symbol
_atom_site_fract_x
_atom_site_fract_y
_atom_site_fract_z
Pt1 Pt 0.988 0.988 0.035
Pt2 Pt 0.966 0.966 0.557
Pt3 Pt 0.254 0.254 0.904
C1 C 0.556 0.556 0.327
C2 C 0.653 0.653 0.109
C3 C 0.416 0.416 0.901
```



[9]
Below is crystalline Pt5C3 at its relaxed geometry, with properties calculated at the PBE-GGA level.

Values from the calculation:
SG = Cm
distance to the lowest polymorph of the same formula = 38 meV/atom

```
data_Pt5C3
_cell_length_a 7.339
_cell_length_b 7.339
_cell_length_c 6.361
_cell_angle_alpha 86.70
_cell_angle_beta 86.70
_cell_angle_gamma 133.99
_space_group_name_H-M_alt 'P 1'
_space_group_IT_number 1
_space_group_name_Hall 'P 1'
loop_
_atom_site_label
_atom_site_type_symbol
_atom_site_fract_x
_atom_site_fract_y
_atom_site_fract_z
Pt1 Pt 0.750 0.524 0.819
Pt2 Pt 0.750 0.938 0.213
Pt3 Pt 0.438 0.250 0.213
Pt4 Pt 0.227 0.727 0.564
Pt5 Pt 0.553 0.736 0.799
Pt6 Pt 0.024 0.250 0.819
Pt7 Pt 0.233 0.458 0.200
Pt8 Pt 0.717 0.217 0.459
Pt9 Pt 0.236 0.053 0.799
Pt10 Pt 0.958 0.733 0.200
C1 C 0.350 0.090 0.501
C2 C 0.370 0.368 0.944
C3 C 0.890 0.390 0.747
C4 C 0.053 0.553 0.273
C5 C 0.590 0.850 0.501
C6 C 0.868 0.870 0.944
```



[10]
Below is crystalline Pt5C3 at its relaxed geometry, with properties calculated at the PBE-GGA level.

Values from the calculation:
SG = P2_1/m
distance to the lowest polymorph of the same formula = 0 meV/atom

```
data_Pt5C3
_cell_length_a 8.016
_cell_length_b 6.622
_cell_length_c 7.491
_cell_angle_alpha 90.00
_cell_angle_beta 90.00
_cell_angle_gamma 140.87
_space_group_name_H-M_alt 'P 1'
_space_group_IT_number 1
_space_group_name_Hall 'P 1'
loop_
_atom_site_label
_atom_site_type_symbol
_atom_site_fract_x
_atom_site_fract_y
_atom_site_fract_z
C1 C 0.640 0.692 0.750
C2 C 0.866 0.619 0.250
C3 C 0.807 0.137 0.250
C4 C 0.193 0.863 0.750
C5 C 0.360 0.308 0.250
C6 C 0.134 0.381 0.750
Pt1 Pt 0.742 0.293 0.434
Pt2 Pt 0.194 0.418 0.250
Pt3 Pt 0.742 0.293 0.066
Pt4 Pt 0.806 0.582 0.750
Pt5 Pt 0.750 0.074 0.750
Pt6 Pt 0.258 0.707 0.934
Pt7 Pt 0.711 0.757 0.250
Pt8 Pt 0.289 0.243 0.750
Pt9 Pt 0.258 0.707 0.566
Pt10 Pt 0.250 0.926 0.250
```



[11]
Below is crystalline Pt3C at its relaxed geometry, with properties calculated at the PBE-GGA level.

Values from the calculation:
SG = Imm2

```
data_Pt3C
_cell_length_a 4.942
_cell_length_b 4.942
_cell_length_c 4.942
_cell_angle_alpha 147.38
_cell_angle_beta 120.58
_cell_angle_gamma 69.45
_space_group_name_H-M_alt 'P 1'
_space_group_IT_number 1
_space_group_name_Hall 'P 1'
loop_
_atom_site_label
_atom_site_type_symbol
_atom_site_fract_x
_atom_site_fract_y
_atom_site_fract_z
Pt1 Pt 0.868 0.321 0.548
Pt2 Pt 0.542 0.500 0.042
Pt3 Pt 0.227 0.679 0.548
C1 C 0.196 0.000 0.196
```



[12]
Below is crystalline Pt5C at its relaxed geometry, with properties calculated at the PBE-GGA level.

Values from the calculation:
SG = P-62m
distance to the lowest polymorph of the same formula = 485 meV/atom

```
data_Pt5C
_cell_length_a 4.759
_cell_length_b 4.759
_cell_length_c 4.552
_cell_angle_alpha 90.00
_cell_angle_beta 90.00
_cell_angle_gamma 120.00
_space_group_name_H-M_alt 'P 1'
_space_group_IT_number 1
_space_group_name_Hall 'P 1'
loop_
_atom_site_label
_atom_site_type_symbol
_atom_site_fract_x
_atom_site_fract_y
_atom_site_fract_z
C1 C 0.000 0.000 0.500
Pt1 Pt 0.000 0.670 0.000
Pt2 Pt 0.667 0.333 0.500
Pt3 Pt 0.670 0.000 0.000
Pt4 Pt 0.330 0.330 0.000
Pt5 Pt 0.333 0.667 0.500
```



[13]
Below is crystalline PtC at its relaxed geometry, with properties calculated at the PBE-GGA level.

Values from the calculation:
SG = P4_2/mnm
distance to the lowest polymorph of the same formula = 630 meV/atom

```
data_PtC
_cell_length_a 5.789
_cell_length_b 5.789
_cell_length_c 3.323
_cell_angle_alpha 90.00
_cell_angle_beta 90.00
_cell_angle_gamma 90.00
_space_group_name_H-M_alt 'P 1'
_space_group_IT_number 1
_space_group_name_Hall 'P 1'
loop_
_atom_site_label
_atom_site_type_symbol
_atom_site_fract_x
_atom_site_fract_y
_atom_site_fract_z
Pt1 Pt 0.693 0.693 0.000
Pt2 Pt 0.193 0.807 0.500
Pt3 Pt 0.307 0.307 0.000
Pt4 Pt 0.807 0.193 0.500
C1 C 0.333 0.667 0.000
C2 C 0.167 0.167 0.500
C3 C 0.667 0.333 0.000
C4 C 0.833 0.833 0.500
```



What formation energy from the elements values result from the calculations? In sequence: 28.0; 13.6; 21.3; 9.2; 14.1; 23.2; 46.7; 18.5; 17.0; 16.1; 12.9; 21.0; 23.7 kcal/mol of atoms.